Entry 1:
The following is a DFT calculation (PBE-GGA) of Ti3TcH after structural relaxation.

abc: 4.737 4.737 4.737
angles: 90.00 90.00 90.00
Each line ends with the local moment (μB).
Fractional positions:
H1 0.500 0.500 0.500  -0.03
Tc1 0.000 0.000 0.000  -0.18
Ti1 0.000 0.500 0.000  0.50
Ti2 0.000 0.000 0.500  0.33
Ti3 0.500 0.000 0.000  0.85

Computed properties:
Offset from the most stable computed form = 1.264 eV/atom
V = 21.3 A^3/atom
Calculated total energy = -31.86 eV/cell

***

Entry 2:
The following is a DFT calculation (PBE-GGA) of Pm5ThPb5 after structural relaxation.

abc: 6.411 7.952 8.810
angles: 105.86 90.00 113.77
Each line ends with the local moment (μB).
Fractional positions:
Pm1 0.666 0.331 0.335  0.03
Pm2 0.669 0.338 0.836  0.04
Pm3 0.000 0.000 0.500  0.09
Pm4 0.331 0.662 0.164  0.04
Pm5 0.334 0.669 0.665  0.03
Th1 0.000 0.000 0.000  0.01
Pb1 0.835 0.669 0.173  0.00
Pb2 0.834 0.668 0.663  0.00
Pb3 0.500 0.000 0.000  0.00
Pb4 0.166 0.332 0.337  0.00
Pb5 0.165 0.331 0.827  0.00

Computed properties:
ΔE_f = -29 kJ per mole of atoms
V = 35.7 A^3/atom
Calculated total energy = -53.03 eV/cell

***

Entry 3:
The following is a DFT calculation (PBE-GGA) of Ga2Ni2Pd after structural relaxation.

abc: 3.829 3.829 5.674
angles: 70.28 70.28 90.00
Fractional positions:
Ni1 0.389 0.389 0.223
Ni2 0.611 0.611 0.777
Ga1 0.750 0.250 0.500
Ga2 0.250 0.750 0.500
Pd1 0.000 0.000 0.000

Computed properties:
ΔE_f = -5 kJ per mole of atoms
Offset from the most stable computed form = 0.342 eV/atom
V = 14.6 A^3/atom
Calculated total energy = -23.05 eV/cell

***

Entry 4:
The following is a DFT calculation (PBE-GGA) of KTe2IN after structural relaxation.

abc: 6.894 6.894 6.625
angles: 90.00 90.00 90.00
Each line ends with the local moment (μB).
Fractional positions:
I1 0.000 0.000 0.500  0.25
K1 0.000 0.000 0.000  0.00
Te1 0.000 0.500 0.000  0.92
Te2 0.500 0.000 0.000  0.92
N1 0.500 0.500 0.500  1.94

Computed properties:
Uncorrected formation energy = 1388.2 meV/atom
Offset from the most stable computed form = 1.216 eV/atom
V = 63.0 A^3/atom
Calculated total energy = -10.32 eV/cell

***

Which formula does entry 3 have? Ga2Ni2Pd